# 1
Entry from Alexandria: a relaxed Mg2GaCo crystal (PBE).

Computed properties:
Magnetization   0.000 μB per formula unit
E_form   376 meV/atom

abc: 9.823 9.823 9.823
angles: 157.50 157.50 32.04
Fractional coordinates of all 8 atoms:
1 Mg 0.115 0.625 0.990
2 Mg 0.375 0.365 0.490
3 Mg 0.635 0.125 0.010
4 Mg 0.875 0.885 0.510
5 Ga 0.250 0.750 0.500
6 Ga 0.500 0.500 0.000
7 Co 0.000 0.000 0.000
8 Co 0.750 0.250 0.500

---

# 2
Entry from Alexandria: a relaxed LiMg2Ga crystal (PBE).

Computed properties:
Magnetization   0.000 μB per formula unit
E_form   -142 meV/atom

abc: 3.525 3.525 6.252
angles: 90.00 90.00 90.00
Fractional coordinates of all 4 atoms:
1 Li 0.000 0.000 0.000
2 Mg 0.500 0.500 0.254
3 Mg 0.500 0.500 0.746
4 Ga 0.000 0.000 0.500

---

# 3
Entry from Alexandria: a relaxed InBi3S crystal (PBE).

Computed properties:
ΔE_f (raw)   0.34 eV/atom
Magnetization   0.000 μB per formula unit
Relative energy among the computed polymorphs   0 meV/atom

abc: 5.468 5.468 5.468
angles: 90.00 90.00 90.00
Fractional coordinates of all 5 atoms:
1 In 0.000 0.000 0.000
2 Bi 0.000 0.500 0.500
3 Bi 0.500 0.000 0.500
4 Bi 0.500 0.500 0.000
5 S 0.500 0.500 0.500

---

# 4
Entry from Alexandria: a relaxed AlInTe2 crystal (PBE).

Computed properties:
ΔE_f (raw)   -0.15 eV/atom
Magnetization   0.000 μB per formula unit

abc: 10.218 10.218 10.218
angles: 21.74 21.74 21.74
Fractional coordinates of all 4 atoms:
1 Al 0.000 0.000 0.000
2 In 0.500 0.500 0.500
3 Te 0.389 0.389 0.389
4 Te 0.611 0.611 0.611

---

# 5
Entry from Alexandria: a relaxed Cd2IrOsI crystal (PBE).

Computed properties:
ΔE_f (raw)   1.61 eV/atom
Magnetization   3.470 μB per formula unit

abc: 5.233 5.233 5.119
angles: 90.00 90.00 90.00
Fractional coordinates of all 5 atoms:
1 Cd 0.000 0.500 0.000
2 Cd 0.500 0.000 0.000
3 Ir 0.000 0.000 0.000
4 Os 0.500 0.500 0.500
5 I 0.000 0.000 0.500

---

# 6
Entry from Alexandria: a relaxed AcGa3B4O12 crystal (PBE).

Computed properties:
ΔE_f (raw)   -2.35 eV/atom
Magnetization   0.000 μB per formula unit

abc: 6.152 6.152 6.152
angles: 103.59 103.59 103.59
Fractional coordinates of all 20 atoms:
1 Ac 0.000 0.000 0.000
2 Ga 0.000 0.552 0.448
3 Ga 0.448 0.000 0.552
4 Ga 0.552 0.448 0.000
5 B 0.058 0.500 0.942
6 B 0.500 0.500 0.500
7 B 0.500 0.942 0.058
8 B 0.942 0.058 0.500
9 O 0.025 0.616 0.778
10 O 0.088 0.912 0.500
11 O 0.222 0.384 0.975
12 O 0.355 0.645 0.500
13 O 0.384 0.975 0.222
14 O 0.500 0.088 0.912
15 O 0.500 0.355 0.645
16 O 0.616 0.778 0.025
17 O 0.645 0.500 0.355
18 O 0.778 0.025 0.616
19 O 0.912 0.500 0.088
20 O 0.975 0.222 0.384

---

# 7
Entry from Alexandria: a relaxed PuMgGaGe crystal (PBE).

Computed properties:
Magnetization   5.134 μB per formula unit
Relative energy among the computed polymorphs   28 meV/atom
E_form   -291 meV/atom

abc: 4.886 4.886 4.886
angles: 60.00 60.00 60.00
Fractional coordinates of all 4 atoms:
1 Pu 0.000 0.000 0.000
2 Mg 0.500 0.500 0.500
3 Ga 0.250 0.250 0.250
4 Ge 0.750 0.750 0.750

---

# 8
Entry from Alexandria: a relaxed CsLaSe2 crystal (PBE).

Computed properties:
ΔE_f (raw)   -1.64 eV/atom
Magnetization   0.000 μB per formula unit

abc: 8.996 4.413 17.576
angles: 90.00 90.00 90.00
Fractional coordinates of all 16 atoms:
1 Cs 0.075 0.250 0.117
2 Cs 0.425 0.750 0.617
3 Cs 0.575 0.250 0.383
4 Cs 0.925 0.750 0.883
5 La 0.035 0.750 0.397
6 La 0.465 0.250 0.897
7 La 0.535 0.750 0.103
8 La 0.965 0.250 0.603
9 Se 0.061 0.750 0.697
10 Se 0.203 0.250 0.487
11 Se 0.297 0.750 0.987
12 Se 0.439 0.250 0.197
13 Se 0.561 0.750 0.803
14 Se 0.703 0.250 0.013
15 Se 0.797 0.750 0.513
16 Se 0.939 0.250 0.303

---

# 9
Entry from Alexandria: a relaxed CrTcPbAu2 crystal (PBE).

Computed properties:
Magnetization   0.170 μB per formula unit
E_form   1642 meV/atom

abc: 5.232 5.232 5.205
angles: 90.00 90.00 90.00
Fractional coordinates of all 5 atoms:
1 Cr 0.000 0.000 0.000
2 Tc 0.500 0.500 0.000
3 Pb 0.000 0.000 0.500
4 Au 0.000 0.500 0.500
5 Au 0.500 0.000 0.500

---

# 10
Entry from Alexandria: a relaxed Cd4Sn crystal (PBE).

Computed properties:
Magnetization   0.000 μB per formula unit
Relative energy among the computed polymorphs   286 meV/atom
E_form   348 meV/atom

abc: 5.619 5.619 5.619
angles: 90.00 90.00 90.00
Fractional coordinates of all 5 atoms:
1 Cd 0.000 0.000 0.000
2 Cd 0.000 0.500 0.500
3 Cd 0.500 0.000 0.500
4 Cd 0.500 0.500 0.000
5 Sn 0.500 0.500 0.500

---

# 11
Entry from Alexandria: a relaxed YCuP2 crystal (PBE).

Computed properties:
Magnetization   0.000 μB per formula unit
E_form   -590 meV/atom

abc: 5.742 5.742 5.742
angles: 106.21 106.21 116.21
Fractional coordinates of all 8 atoms:
1 Y 0.000 0.000 0.000
2 Y 0.750 0.250 0.500
3 Cu 0.250 0.750 0.500
4 Cu 0.500 0.500 0.000
5 P 0.186 0.125 0.561
6 P 0.375 0.814 0.939
7 P 0.564 0.625 0.439
8 P 0.875 0.436 0.061

---

# 12
Entry from Alexandria: a relaxed HoTmHgRu crystal (PBE).

Computed properties:
Magnetization   0.000 μB per formula unit
Relative energy among the computed polymorphs   0 meV/atom
E_form   -521 meV/atom

abc: 3.446 3.446 7.449
angles: 90.00 90.00 90.00
Fractional coordinates of all 4 atoms:
1 Ho 0.000 0.000 0.000
2 Tm 0.000 0.000 0.560
3 Hg 0.500 0.500 0.284
4 Ru 0.500 0.500 0.777